Entry 1:
# Nd3Mg2Cu4

A relaxed structure of Nd3Mg2Cu4 (PBE-GGA, Alexandria via LeMat-Bulk).

ΔE_f in meV per atom: -153
SG: No. 12
DOS at the Fermi energy in states/eV per atom: 0.867

Unit cell a=5.4849 b=5.4849 c=8.9563 alpha=94.01 beta=94.01 gamma=47.65
Fractional positions:
Nd1 0.0000 0.0000 0.0000
Nd2 0.3683 0.3683 0.6171
Nd3 0.6317 0.6317 0.3829
Mg1 0.3245 0.3245 0.2204
Mg2 0.6755 0.6755 0.7796
Cu1 0.0729 0.0729 0.6269
Cu2 0.2807 0.2807 0.9262
Cu3 0.7193 0.7193 0.0738
Cu4 0.9271 0.9271 0.3731

Entry 2:
# Pu2Tl3CdSe6

A relaxed structure of Pu2Tl3CdSe6 (PBE-GGA, Alexandria via LeMat-Bulk).

SG: No. 12
Formation energy (no corrections) in meV per atom: -881
DOS at the Fermi energy in states/eV per atom: 1.645

Unit cell a=7.2372 b=7.2372 c=8.1034 alpha=98.52 beta=98.52 gamma=120.02
Fractional positions:
Pu1 0.1668 0.8332 0.0000
Pu2 0.8332 0.1668 0.0000
Tl1 0.0000 0.0000 0.5000
Tl2 0.3336 0.6664 0.5000
Tl3 0.6664 0.3336 0.5000
Cd1 0.5000 0.5000 0.0000
Se1 0.0917 0.4315 0.7939
Se2 0.2292 0.2292 0.2038
Se3 0.4315 0.0917 0.7939
Se4 0.5685 0.9083 0.2061
Se5 0.7708 0.7708 0.7962
Se6 0.9083 0.5685 0.2061

Entry 3:
# Bi2Sb2Te

A relaxed structure of Bi2Sb2Te (PBE-GGA, Alexandria via LeMat-Bulk).

SG: No. 127
E above lowest polymorph in meV/atom: 51
Formation energy (no corrections) in meV per atom: 184
DOS at the Fermi energy in states/eV per atom: 0.759

Unit cell a=8.7730 b=8.7730 c=4.0388 alpha=90.00 beta=90.00 gamma=90.00
Fractional positions:
Bi1 0.1598 0.3402 0.0000
Bi2 0.3402 0.8402 0.0000
Bi3 0.6598 0.1598 0.0000
Bi4 0.8402 0.6598 0.0000
Sb1 0.1414 0.6414 0.5000
Sb2 0.3586 0.1414 0.5000
Sb3 0.6414 0.8586 0.5000
Sb4 0.8586 0.3586 0.5000
Te1 0.0000 0.0000 0.0000
Te2 0.5000 0.5000 0.0000

Entry 4:
# CoN

A relaxed structure of CoN (PBE-GGA, Alexandria via LeMat-Bulk).

SG: No. 216
E above lowest polymorph in meV/atom: 0
Formation energy (no corrections) in meV per atom: 105
DOS at the Fermi energy in states/eV per atom: 0.692

Unit cell a=3.0089 b=3.0089 c=3.0089 alpha=60.00 beta=60.00 gamma=60.00
Fractional positions:
Co1 0.0000 0.0000 0.0000
N1 0.7500 0.7500 0.7500

Entry 5:
# ZrV3Rh6

A relaxed structure of ZrV3Rh6 (PBE-GGA, Alexandria via LeMat-Bulk).

ΔE_f in meV per atom: -466
SG: No. 11
DOS at the Fermi energy in states/eV per atom: 1.026

Unit cell a=8.4178 b=3.9469 c=8.8170 alpha=90.00 beta=93.12 gamma=90.00
Fractional positions:
Zr1 0.0679 0.2500 0.3816
Zr2 0.9321 0.7500 0.6184
V1 0.2513 0.2500 0.0229
V2 0.3358 0.7500 0.8173
V3 0.4372 0.2500 0.6112
V4 0.5628 0.7500 0.3888
V5 0.6642 0.2500 0.1827
V6 0.7487 0.7500 0.9771
Rh1 0.0610 0.7500 0.9093
Rh2 0.1599 0.2500 0.7123
Rh3 0.1642 0.7500 0.1984
Rh4 0.2733 0.7500 0.5109
Rh5 0.3874 0.2500 0.3083
Rh6 0.4671 0.7500 0.1006
Rh7 0.5329 0.2500 0.8994
Rh8 0.6126 0.7500 0.6917
Rh9 0.7267 0.2500 0.4891
Rh10 0.8358 0.2500 0.8016
Rh11 0.8401 0.7500 0.2877
Rh12 0.9390 0.2500 0.0907

Entry 6:
# ThZrAg2

A relaxed structure of ThZrAg2 (PBE-GGA, Alexandria via LeMat-Bulk).

ΔE_f in meV per atom: 58
SG: No. 225
E above lowest polymorph in meV/atom: 48
DOS at the Fermi energy in states/eV per atom: 1.301

Unit cell a=5.1098 b=5.1098 c=5.1098 alpha=60.00 beta=60.00 gamma=60.00
Fractional positions:
Th1 0.0000 0.0000 0.0000
Zr1 0.5000 0.5000 0.5000
Ag1 0.2500 0.2500 0.2500
Ag2 0.7500 0.7500 0.7500

Entry 7:
# V3Re2Mo2

A relaxed structure of V3Re2Mo2 (PBE-GGA, Alexandria via LeMat-Bulk).

ΔE_f in meV per atom: 218
SG: No. 2
E above lowest polymorph in meV/atom: 201
DOS at the Fermi energy in states/eV per atom: 0.858

Unit cell a=4.2653 b=4.2799 c=6.6415 alpha=108.53 beta=108.64 gamma=90.06
Fractional positions:
V1 0.0000 0.0000 0.0000
V2 0.2539 0.2537 0.5074
V3 0.7461 0.7463 0.4926
Re1 0.3786 0.8781 0.7570
Re2 0.6214 0.1219 0.2430
Mo1 0.1206 0.6212 0.2421
Mo2 0.8794 0.3788 0.7579

Entry 8:
# ScAgHgF6

A relaxed structure of ScAgHgF6 (PBE-GGA, Alexandria via LeMat-Bulk).

SG: No. 163
Formation energy (no corrections) in meV per atom: -2417

Unit cell a=5.9409 b=5.9409 c=9.6886 alpha=90.00 beta=90.00 gamma=120.00
Fractional positions:
Sc1 0.3333 0.6667 0.2500
Sc2 0.6667 0.3333 0.7500
Ag1 0.0000 0.0000 0.0000
Ag2 0.0000 0.0000 0.5000
Hg1 0.3333 0.6667 0.7500
Hg2 0.6667 0.3333 0.2500
F1 0.0382 0.3814 0.1360
F2 0.0382 0.6567 0.3640
F3 0.3433 0.3814 0.3640
F4 0.3433 0.9618 0.1360
F5 0.3814 0.0382 0.6360
F6 0.3814 0.3433 0.8640
F7 0.6186 0.6567 0.1360
F8 0.6186 0.9618 0.3640
F9 0.6567 0.0382 0.8640
F10 0.6567 0.6186 0.6360
F11 0.9618 0.3433 0.6360
F12 0.9618 0.6186 0.8640

Entry 9:
# Tb5Dy2TmIn

A relaxed structure of Tb5Dy2TmIn (PBE-GGA, Alexandria via LeMat-Bulk).

ΔE_f in meV per atom: -4
SG: No. 63
DOS at the Fermi energy in states/eV per atom: 1.392

Unit cell a=10.4018 b=10.4018 c=10.4971 alpha=90.00 beta=90.00 gamma=150.16
Fractional positions:
Tb1 0.0000 0.0000 0.0000
Tb2 0.0000 0.0000 0.5000
Tb3 0.1185 0.8815 0.7500
Tb4 0.2111 0.7889 0.0511
Tb5 0.2111 0.7889 0.4489
Tb6 0.4872 0.5128 0.7500
Tb7 0.5128 0.4872 0.2500
Tb8 0.7889 0.2111 0.5511
Tb9 0.7889 0.2111 0.9489
Tb10 0.8815 0.1185 0.2500
Dy1 0.3841 0.6159 0.0413
Dy2 0.3841 0.6159 0.4587
Dy3 0.6159 0.3841 0.5413
Dy4 0.6159 0.3841 0.9587
Tm1 0.2936 0.7064 0.7500
Tm2 0.7064 0.2936 0.2500
In1 0.0961 0.9039 0.2500
In2 0.9039 0.0961 0.7500

Entry 10:
# LaTb7Y4

A relaxed structure of LaTb7Y4 (PBE-GGA, Alexandria via LeMat-Bulk).

ΔE_f in meV per atom: 257
SG: No. 12
E above lowest polymorph in meV/atom: 257
DOS at the Fermi energy in states/eV per atom: 1.726

Unit cell a=6.7349 b=6.7349 c=12.7083 alpha=114.96 beta=114.96 gamma=52.27
Fractional positions:
La1 0.0000 0.0000 0.0000
Tb1 0.0586 0.0586 0.3336
Tb2 0.2093 0.2093 0.9218
Tb3 0.3671 0.3671 0.4960
Tb4 0.5000 0.5000 0.0000
Tb5 0.6329 0.6329 0.5040
Tb6 0.7907 0.7907 0.0782
Tb7 0.9414 0.9414 0.6664
Y1 0.2534 0.2534 0.6853
Y2 0.3701 0.3701 0.2247
Y3 0.6299 0.6299 0.7753
Y4 0.7466 0.7466 0.3147

Entry 11:
# PrSm5Er3

A relaxed structure of PrSm5Er3 (PBE-GGA, Alexandria via LeMat-Bulk).

ΔE_f in meV per atom: 289
SG: No. 15
E above lowest polymorph in meV/atom: 0
DOS at the Fermi energy in states/eV per atom: 1.420

Unit cell a=9.8610 b=9.8610 c=11.3533 alpha=112.21 beta=112.21 gamma=37.92
Fractional positions:
Pr1 0.1368 0.8632 0.7500
Pr2 0.8632 0.1368 0.2500
Sm1 0.0093 0.6508 0.1335
Sm2 0.1250 0.5379 0.7924
Sm3 0.3492 0.9907 0.3665
Sm4 0.3954 0.6046 0.2500
Sm5 0.4621 0.8750 0.7076
Sm6 0.5379 0.1250 0.2924
Sm7 0.6046 0.3954 0.7500
Sm8 0.6508 0.0093 0.6335
Sm9 0.8750 0.4621 0.2076
Sm10 0.9907 0.3492 0.8665
Er1 0.0000 0.0000 0.0000
Er2 0.0000 0.0000 0.5000
Er3 0.1375 0.5383 0.4857
Er4 0.4617 0.8625 0.0143
Er5 0.5383 0.1375 0.9857
Er6 0.8625 0.4617 0.5143

Entry 12:
# Ga2CoAg

A relaxed structure of Ga2CoAg (PBE-GGA, Alexandria via LeMat-Bulk).

ΔE_f in meV per atom: 18
SG: No. 160
E above lowest polymorph in meV/atom: 110
DOS at the Fermi energy in states/eV per atom: 0.364

Unit cell a=5.2841 b=5.2841 c=5.2841 alpha=43.98 beta=43.98 gamma=43.98
Fractional positions:
Ga1 0.0000 0.0000 0.0000
Ga2 0.2147 0.2147 0.2147
Co1 0.5920 0.5920 0.5920
Ag1 0.7810 0.7810 0.7810

Entry 13:
# MoRh4Pb

A relaxed structure of MoRh4Pb (PBE-GGA, Alexandria via LeMat-Bulk).

ΔE_f in meV per atom: 317
SG: No. 216
DOS at the Fermi energy in states/eV per atom: 1.297

Unit cell a=5.1860 b=5.1860 c=5.1860 alpha=60.00 beta=60.00 gamma=60.00
Fractional positions:
Mo1 0.0000 0.0000 0.0000
Rh1 0.3746 0.3746 0.3746
Rh2 0.3746 0.3746 0.8761
Rh3 0.3746 0.8761 0.3746
Rh4 0.8761 0.3746 0.3746
Pb1 0.7500 0.7500 0.7500

Entry 14:
# Pa2BiS

A relaxed structure of Pa2BiS (PBE-GGA, Alexandria via LeMat-Bulk).

SG: No. 166
E above lowest polymorph in meV/atom: 0
Formation energy (no corrections) in meV per atom: -852
DOS at the Fermi energy in states/eV per atom: 1.762

Unit cell a=7.4286 b=7.4286 c=7.4286 alpha=32.06 beta=32.06 gamma=32.06
Fractional positions:
Pa1 0.2320 0.2320 0.2320
Pa2 0.7680 0.7680 0.7680
Bi1 0.0000 0.0000 0.0000
S1 0.5000 0.5000 0.5000

Entry 15:
# NaTaZn3

A relaxed structure of NaTaZn3 (PBE-GGA, Alexandria via LeMat-Bulk).

ΔE_f in meV per atom: 794
SG: No. 221
E above lowest polymorph in meV/atom: 0
DOS at the Fermi energy in states/eV per atom: 0.931

Unit cell a=5.1372 b=5.1372 c=5.1372 alpha=90.00 beta=90.00 gamma=90.00
Fractional positions:
Na1 0.0000 0.0000 0.0000
Ta1 0.5000 0.5000 0.5000
Zn1 0.0000 0.5000 0.5000
Zn2 0.5000 0.0000 0.5000
Zn3 0.5000 0.5000 0.0000

Entry 16:
# CsPmPd2F8

A relaxed structure of CsPmPd2F8 (PBE-GGA, Alexandria via LeMat-Bulk).

SG: No. 147
Formation energy (no corrections) in meV per atom: -2133
DOS at the Fermi energy in states/eV per atom: 1.109

Unit cell a=6.0929 b=6.0929 c=8.4801 alpha=90.00 beta=90.00 gamma=120.00
Fractional positions:
Cs1 0.0000 0.0000 0.0000
Pm1 0.0000 0.0000 0.5000
Pd1 0.3333 0.6667 0.7597
Pd2 0.6667 0.3333 0.2403
F1 0.0387 0.3057 0.6682
F2 0.2670 0.9613 0.6682
F3 0.3057 0.2670 0.3318
F4 0.3333 0.6667 0.9957
F5 0.6667 0.3333 0.0043
F6 0.6943 0.7330 0.6682
F7 0.7330 0.0387 0.3318
F8 0.9613 0.6943 0.3318

Entry 17:
# Nd6AlSi2

A relaxed structure of Nd6AlSi2 (PBE-GGA, Alexandria via LeMat-Bulk).

SG: No. 71
Formation energy (no corrections) in meV per atom: -439
DOS at the Fermi energy in states/eV per atom: 0.776

Unit cell a=8.7668 b=8.7668 c=8.7668 alpha=112.00 beta=109.57 gamma=106.88
Fractional positions:
Nd1 0.0423 0.2437 0.7986
Nd2 0.1815 0.2708 0.4523
Nd3 0.1815 0.7292 0.9107
Nd4 0.3224 0.0307 0.7082
Nd5 0.3224 0.6142 0.2918
Nd6 0.4451 0.2437 0.2014
Nd7 0.5549 0.7563 0.7986
Nd8 0.6776 0.3858 0.7082
Nd9 0.6776 0.9693 0.2918
Nd10 0.8185 0.2708 0.0893
Nd11 0.8185 0.7292 0.5477
Nd12 0.9577 0.7563 0.2014
Al1 0.0000 0.0000 0.0000
Al2 0.5000 0.5000 0.0000
Si1 0.1133 0.6133 0.5000
Si2 0.3729 0.0000 0.3729
Si3 0.6271 0.0000 0.6271
Si4 0.8867 0.3867 0.5000

Entry 18:
# Be2FeAu

A relaxed structure of Be2FeAu (PBE-GGA, Alexandria via LeMat-Bulk).

ΔE_f in meV per atom: 202
SG: No. 216
DOS at the Fermi energy in states/eV per atom: 1.127

Unit cell a=4.0912 b=4.0912 c=4.0912 alpha=60.00 beta=60.00 gamma=60.00
Fractional positions:
Be1 0.0000 0.0000 0.0000
Be2 0.2500 0.2500 0.2500
Fe1 0.7500 0.7500 0.7500
Au1 0.5000 0.5000 0.5000

Entry 19:
# Rb3I2O6

A relaxed structure of Rb3I2O6 (PBE-GGA, Alexandria via LeMat-Bulk).

SG: No. 139
Formation energy (no corrections) in meV per atom: -857
DOS at the Fermi energy in states/eV per atom: 0.179

Unit cell a=11.7910 b=11.7910 c=11.7910 alpha=158.69 beta=158.69 gamma=30.31
Fractional positions:
Rb1 0.0000 0.0000 0.0000
Rb2 0.1870 0.1870 0.0000
Rb3 0.8130 0.8130 0.0000
I1 0.3981 0.3981 0.0000
I2 0.6019 0.6019 0.0000
O1 0.0939 0.5939 0.5000
O2 0.3163 0.3163 0.0000
O3 0.4061 0.9061 0.5000
O4 0.5939 0.0939 0.5000
O5 0.6837 0.6837 0.0000
O6 0.9061 0.4061 0.5000

Entry 20:
# Ba2CaWN

A relaxed structure of Ba2CaWN (PBE-GGA, Alexandria via LeMat-Bulk).

SG: No. 123
Formation energy (no corrections) in meV per atom: 2330
DOS at the Fermi energy in states/eV per atom: 1.121

Unit cell a=6.3229 b=6.3229 c=4.7739 alpha=90.00 beta=90.00 gamma=90.00
Fractional positions:
Ba1 0.0000 0.5000 0.0000
Ba2 0.5000 0.0000 0.0000
Ca1 0.0000 0.0000 0.0000
W1 0.0000 0.0000 0.5000
N1 0.5000 0.5000 0.5000

Entry 21:
# LuPaFeRu

A relaxed structure of LuPaFeRu (PBE-GGA, Alexandria via LeMat-Bulk).

ΔE_f in meV per atom: -241
SG: No. 216
DOS at the Fermi energy in states/eV per atom: 0.798

Unit cell a=4.7440 b=4.7440 c=4.7440 alpha=60.00 beta=60.00 gamma=60.00
Fractional positions:
Lu1 0.0000 0.0000 0.0000
Pa1 0.5000 0.5000 0.5000
Fe1 0.7500 0.7500 0.7500
Ru1 0.2500 0.2500 0.2500

Entry 22:
# K3DyTa2O8

A relaxed structure of K3DyTa2O8 (PBE-GGA, Alexandria via LeMat-Bulk).

SG: No. 164
Formation energy (no corrections) in meV per atom: -2692
DOS at the Fermi energy in states/eV per atom: 0.000

Unit cell a=6.1904 b=6.1904 c=7.7583 alpha=90.00 beta=90.00 gamma=120.00
Fractional positions:
K1 0.0000 0.0000 0.0000
K2 0.3333 0.6667 0.6773
K3 0.6667 0.3333 0.3227
Dy1 0.0000 0.0000 0.5000
Ta1 0.3333 0.6667 0.2347
Ta2 0.6667 0.3333 0.7653
O1 0.1696 0.3391 0.3239
O2 0.1696 0.8304 0.3239
O3 0.3333 0.6667 0.0000
O4 0.3391 0.1696 0.6761
O5 0.6609 0.8304 0.3239
O6 0.6667 0.3333 0.0000
O7 0.8304 0.1696 0.6761
O8 0.8304 0.6609 0.6761

Entry 23:
# Ca2BAsO

A relaxed structure of Ca2BAsO (PBE-GGA, Alexandria via LeMat-Bulk).

SG: No. 123
E above lowest polymorph in meV/atom: 405
Formation energy (no corrections) in meV per atom: -73
DOS at the Fermi energy in states/eV per atom: 0.437

Unit cell a=5.4064 b=5.4064 c=3.8808 alpha=90.00 beta=90.00 gamma=90.00
Fractional positions:
Ca1 0.0000 0.5000 0.0000
Ca2 0.5000 0.0000 0.0000
B1 0.0000 0.0000 0.5000
As1 0.0000 0.0000 0.0000
O1 0.5000 0.5000 0.5000

Calculated total moment, 0.0 9.0 0.0 0.0 1.6 0.0 0.0 0.2 0.0 0.0 0.0 0.0 0.0 0.0 1.7 4.0 0.0 2.5 0.0 2.1 0.6 0.0 0.0 μB per cell (same order as the records).